# 1
A relaxed structure of EuHoTc4. Source: the Alexandria database, functional PBE-GGA.

Summary:
For the energy relative to the elements, the calculation gives 0.3 eV per formula unit. For the calculated total energy, the calculation gives -9.34 eV/atom.

Unit cell a=5.424 b=5.424 c=5.424 alpha=60.00 beta=60.00 gamma=60.00
Atoms (fractional coordinates):
Eu 0.000 0.000 0.000
Ho 0.750 0.750 0.750
Tc 0.375 0.375 0.375
Tc 0.375 0.375 0.875
Tc 0.375 0.875 0.375
Tc 0.875 0.375 0.375

# 2
A relaxed structure of Y2ZnCr. Source: the Alexandria database, functional PBE-GGA.

Summary:
For the energy relative to the elements, the calculation gives 0.7 eV per formula unit. Its energy above the lowest structure with this stoichiometry is 0.68 eV per formula unit. For the calculated total energy, the calculation gives -5.77 eV/atom.

Unit cell a=5.666 b=5.666 c=5.666 alpha=134.46 beta=134.46 gamma=66.36
Atoms (fractional coordinates):
Y 0.000 0.000 0.000
Y 0.750 0.250 0.500
Zn 0.250 0.750 0.500
Cr 0.500 0.500 0.000

# 3
A relaxed structure of Ba2CoPb. Source: the Alexandria database, functional PBE-GGA.

Summary:
For the energy relative to the elements, the calculation gives 0.9 eV per formula unit. For the calculated total energy, the calculation gives -3.45 eV/atom.

Unit cell a=3.790 b=3.790 c=9.837 alpha=90.00 beta=90.00 gamma=90.00
Atoms (fractional coordinates):
Ba 0.000 0.000 0.000
Ba 0.500 0.500 0.408
Co 0.000 0.000 0.642
Pb 0.500 0.500 0.749